No. 1
The following is a DFT calculation (PBE-GGA) of crystalline KCuAs2Br at its relaxed geometry.

The calculation puts the size of the total moment at 0.124 μB/atom. The total energy comes out at -3.3368 eV per atom. The space group is P4/mmm (123).

Cell and atoms, written as POSCAR:
```
KCuAs2Br
1.0
4.571 0.000 0.000
0.000 4.571 0.000
0.000 0.000 7.757
K Cu As Br
1 1 2 1
Direct
0.000 0.000 0.000
0.500 0.500 0.500
0.000 0.500 0.500
0.500 0.000 0.500
0.500 0.500 0.000
```

No. 2
The following is a DFT calculation (PBE-GGA) of crystalline KCuAsBr2 at its relaxed geometry.

The calculation puts the size of the total moment at 0.293 μB/atom. The total energy comes out at -3.0048 eV per atom. The space group is P4/mmm (123).

Cell and atoms, written as POSCAR:
```
KCuAsBr2
1.0
5.507 0.000 0.000
0.000 5.507 0.000
0.000 0.000 4.647
K Cu As Br
1 1 1 2
Direct
0.000 0.000 0.000
0.500 0.500 0.500
0.500 0.500 0.000
0.000 0.500 0.500
0.500 0.000 0.500
```

No. 3
The following is a DFT calculation (PBE-GGA) of crystalline LaCuAsBr2 at its relaxed geometry.

The calculation puts the size of the total moment at 0.203 μB/atom. The total energy comes out at -3.6304 eV per atom. The space group is P4/mmm (123).

Cell and atoms, written as POSCAR:
```
LaCuAsBr2
1.0
5.757 0.000 0.000
0.000 5.757 0.000
0.000 0.000 6.124
La Cu As Br
1 1 1 2
Direct
0.000 0.000 0.000
0.500 0.500 0.500
0.000 0.000 0.500
0.000 0.500 0.000
0.500 0.000 0.000
```

No. 4
The following is a DFT calculation (PBE-GGA) of crystalline LaCuAsBr at its relaxed geometry.

The calculation puts the size of the total moment at 0.000 μB/atom. The total energy comes out at -5.0200 eV per atom. The space group is R-3m (166).

Cell and atoms, written as POSCAR:
```
LaCuAsBr
1.0
2.131 1.230 13.851
-2.131 1.230 13.851
0.000 -2.460 13.851
La Cu As Br
2 2 2 2
Direct
0.077 0.077 0.077
0.923 0.923 0.923
0.310 0.310 0.310
0.690 0.690 0.690
0.371 0.371 0.371
0.629 0.629 0.629
0.210 0.210 0.210
0.790 0.790 0.790
```

No. 5
The following is a DFT calculation (PBE-GGA) of crystalline LaCuAsBr2 at its relaxed geometry.

The calculation puts the size of the total moment at 0.000 μB/atom. The total energy comes out at -4.0182 eV per atom. The space group is P4/mmm (123).

Cell and atoms, written as POSCAR:
```
LaCuAsBr2
1.0
4.885 0.000 0.000
0.000 4.885 0.000
0.000 0.000 5.175
La Cu As Br
1 1 1 2
Direct
0.000 0.000 0.000
0.500 0.500 0.500
0.500 0.500 0.000
0.000 0.500 0.500
0.500 0.000 0.500
```

No. 6
The following is a DFT calculation (PBE-GGA) of crystalline LiCuAs2Br at its relaxed geometry.

The calculation puts the size of the total moment at 0.047 μB/atom. The total energy comes out at -3.2807 eV per atom. The space group is P4/mmm (123).

Cell and atoms, written as POSCAR:
```
LiCuAs2Br
1.0
4.463 0.000 0.000
0.000 4.463 0.000
0.000 0.000 7.779
Li Cu As Br
1 1 2 1
Direct
0.000 0.000 0.000
0.500 0.500 0.500
0.000 0.500 0.500
0.500 0.000 0.500
0.500 0.500 0.000
```

No. 7
The following is a DFT calculation (PBE-GGA) of crystalline LiCuAs2Br at its relaxed geometry.

The calculation puts the size of the total moment at 0.000 μB/atom. The total energy comes out at -2.7871 eV per atom. The space group is P4/mmm (123).

Cell and atoms, written as POSCAR:
```
LiCuAs2Br
1.0
4.564 0.000 0.000
0.000 4.564 0.000
0.000 0.000 4.997
Li Cu As Br
1 1 2 1
Direct
0.000 0.000 0.000
0.500 0.500 0.500
0.000 0.500 0.000
0.500 0.000 0.000
0.000 0.000 0.500
```

No. 8
The following is a DFT calculation (PBE-GGA) of crystalline LiCuAsBr2 at its relaxed geometry.

The calculation puts the size of the total moment at 0.238 μB/atom. The total energy comes out at -2.8852 eV per atom. The space group is P4/mmm (123).

Cell and atoms, written as POSCAR:
```
LiCuAsBr2
1.0
5.346 0.000 0.000
0.000 5.346 0.000
0.000 0.000 4.599
Li Cu As Br
1 1 1 2
Direct
0.000 0.000 0.000
0.500 0.500 0.500
0.500 0.500 0.000
0.000 0.500 0.500
0.500 0.000 0.500
```

No. 9
The following is a DFT calculation (PBE-GGA) of crystalline MnCuAsBr2 at its relaxed geometry.

The calculation puts the size of the total moment at 0.579 μB/atom. The total energy comes out at -3.8571 eV per atom. The space group is P4/mmm (123).

Cell and atoms, written as POSCAR:
```
MnCuAsBr2
1.0
5.155 0.000 0.000
0.000 5.155 0.000
0.000 0.000 4.777
Mn Cu As Br
1 1 1 2
Direct
0.000 0.000 0.000
0.500 0.500 0.500
0.000 0.000 0.500
0.000 0.500 0.000
0.500 0.000 0.000
```

No. 10
The following is a DFT calculation (PBE-GGA) of crystalline CuMoAs2Br at its relaxed geometry.

The calculation puts the size of the total moment at 0.575 μB/atom. The total energy comes out at -4.1881 eV per atom. The space group is P4/mmm (123).

Cell and atoms, written as POSCAR:
```
CuMoAs2Br
1.0
4.587 0.000 0.000
0.000 4.587 0.000
0.000 0.000 5.257
Cu Mo As Br
1 1 2 1
Direct
0.000 0.000 0.000
0.500 0.500 0.500
0.000 0.500 0.000
0.500 0.000 0.000
0.000 0.000 0.500
```

No. 11
The following is a DFT calculation (PBE-GGA) of crystalline CuMoAs2Br at its relaxed geometry.

The calculation puts the size of the total moment at 0.000 μB/atom. The total energy comes out at -4.5195 eV per atom. The space group is P4/mmm (123).

Cell and atoms, written as POSCAR:
```
CuMoAs2Br
1.0
4.822 0.000 0.000
0.000 4.822 0.000
0.000 0.000 5.351
Cu Mo As Br
1 1 2 1
Direct
0.000 0.000 0.000
0.500 0.500 0.500
0.000 0.500 0.500
0.500 0.000 0.500
0.500 0.500 0.000
```

No. 12
The following is a DFT calculation (PBE-GGA) of crystalline CuMoAsBr2 at its relaxed geometry.

The calculation puts the size of the total moment at 0.318 μB/atom. The total energy comes out at -3.9720 eV per atom. The space group is P4/mmm (123).

Cell and atoms, written as POSCAR:
```
CuMoAsBr2
1.0
5.260 0.000 0.000
0.000 5.260 0.000
0.000 0.000 4.859
Cu Mo As Br
1 1 1 2
Direct
0.000 0.000 0.000
0.500 0.500 0.500
0.500 0.500 0.000
0.000 0.500 0.500
0.500 0.000 0.500
```

No. 13
The following is a DFT calculation (PBE-GGA) of crystalline CuAs2BrN at its relaxed geometry.

The calculation puts the size of the total moment at 0.372 μB/atom. The total energy comes out at -3.1876 eV per atom. The space group is P4/mmm (123).

Cell and atoms, written as POSCAR:
```
CuAs2BrN
1.0
4.681 0.000 0.000
0.000 4.681 0.000
0.000 0.000 5.244
Cu As Br N
1 2 1 1
Direct
0.000 0.000 0.000
0.000 0.500 0.000
0.500 0.000 0.000
0.000 0.000 0.500
0.500 0.500 0.500
```

No. 14
The following is a DFT calculation (PBE-GGA) of crystalline CuAs2BrN at its relaxed geometry.

The calculation puts the size of the total moment at 0.000 μB/atom. The total energy comes out at -3.5951 eV per atom. The space group is P4/mmm (123).

Cell and atoms, written as POSCAR:
```
CuAs2BrN
1.0
4.307 0.000 0.000
0.000 4.307 0.000
0.000 0.000 4.753
Cu As Br N
1 2 1 1
Direct
0.000 0.000 0.000
0.000 0.500 0.500
0.500 0.000 0.500
0.500 0.500 0.000
0.500 0.500 0.500
```

No. 15
The following is a DFT calculation (PBE-GGA) of crystalline CuNiAs2Br at its relaxed geometry.

The calculation puts the size of the total moment at 0.101 μB/atom. The total energy comes out at -3.3952 eV per atom. The space group is P4/mmm (123).

Cell and atoms, written as POSCAR:
```
CuNiAs2Br
1.0
4.614 0.000 0.000
0.000 4.614 0.000
0.000 0.000 4.817
Cu Ni As Br
1 1 2 1
Direct
0.000 0.000 0.000
0.000 0.000 0.500
0.000 0.500 0.000
0.500 0.000 0.000
0.500 0.500 0.500
```

No. 16
The following is a DFT calculation (PBE-GGA) of crystalline CuNiAs2Br at its relaxed geometry.

The calculation puts the size of the total moment at 0.000 μB/atom. The total energy comes out at -3.6022 eV per atom. The space group is P4/mmm (123).

Cell and atoms, written as POSCAR:
```
CuNiAs2Br
1.0
4.305 0.000 0.000
0.000 4.305 0.000
0.000 0.000 7.163
Cu Ni As Br
1 1 2 1
Direct
0.000 0.000 0.000
0.500 0.500 0.500
0.000 0.500 0.500
0.500 0.000 0.500
0.500 0.500 0.000
```

No. 17
The following is a DFT calculation (PBE-GGA) of crystalline CuNiAs2Br at its relaxed geometry.

The calculation puts the size of the total moment at 0.056 μB/atom. The total energy comes out at -3.2514 eV per atom. The space group is P4/mmm (123).

Cell and atoms, written as POSCAR:
```
CuNiAs2Br
1.0
4.630 0.000 0.000
0.000 4.630 0.000
0.000 0.000 5.050
Cu Ni As Br
1 1 2 1
Direct
0.000 0.000 0.000
0.500 0.500 0.500
0.000 0.500 0.000
0.500 0.000 0.000
0.000 0.000 0.500
```

No. 18
The following is a DFT calculation (PBE-GGA) of crystalline CuAsBrO2 at its relaxed geometry.

The calculation puts the size of the total moment at 0.182 μB/atom. The total energy comes out at -4.7312 eV per atom. The space group is P2_1/m (11).

Cell and atoms, written as POSCAR:
```
CuAsBrO2
1.0
5.998 0.000 0.000
0.000 3.943 0.000
-1.248 0.000 6.855
Cu As Br O
2 2 2 4
Direct
0.182 0.250 0.453
0.818 0.750 0.547
0.144 0.250 0.896
0.856 0.750 0.104
0.497 0.250 0.291
0.503 0.750 0.709
0.029 0.750 0.356
0.067 0.750 0.936
0.933 0.250 0.064
0.971 0.250 0.644
```

No. 19
The following is a DFT calculation (PBE-GGA) of crystalline CuAs2OsBr at its relaxed geometry.

The calculation puts the size of the total moment at 0.000 μB/atom. The total energy comes out at -4.4615 eV per atom. The space group is P4/mmm (123).

Cell and atoms, written as POSCAR:
```
CuAs2OsBr
1.0
4.685 0.000 0.000
0.000 4.685 0.000
0.000 0.000 5.526
Cu As Os Br
1 2 1 1
Direct
0.000 0.000 0.000
0.000 0.500 0.500
0.500 0.000 0.500
0.500 0.500 0.500
0.500 0.500 0.000
```

No. 20
The following is a DFT calculation (PBE-GGA) of crystalline CuAsPBr2 at its relaxed geometry.

The calculation puts the size of the total moment at 0.104 μB/atom. The total energy comes out at -2.7506 eV per atom. The space group is P4/mmm (123).

Cell and atoms, written as POSCAR:
```
CuAsPBr2
1.0
4.785 0.000 0.000
0.000 4.785 0.000
0.000 0.000 5.109
Cu As P Br
1 1 1 2
Direct
0.000 0.000 0.000
0.000 0.000 0.500
0.500 0.500 0.500
0.000 0.500 0.000
0.500 0.000 0.000
```

No. 21
The following is a DFT calculation (PBE-GGA) of crystalline CuAsPBr2 at its relaxed geometry.

The calculation puts the size of the total moment at 0.205 μB/atom. The total energy comes out at -2.7864 eV per atom. The space group is P4/mmm (123).

Cell and atoms, written as POSCAR:
```
CuAsPBr2
1.0
5.080 0.000 0.000
0.000 5.080 0.000
0.000 0.000 4.928
Cu As P Br
1 1 1 2
Direct
0.000 0.000 0.000
0.500 0.500 0.000
0.500 0.500 0.500
0.000 0.500 0.500
0.500 0.000 0.500
```

No. 22
The following is a DFT calculation (PBE-GGA) of crystalline CuAs2PbBr at its relaxed geometry.

The calculation puts the size of the total moment at 0.377 μB/atom. The total energy comes out at -2.7013 eV per atom. The space group is P4/mmm (123).

Cell and atoms, written as POSCAR:
```
CuAs2PbBr
1.0
5.540 0.000 0.000
0.000 5.540 0.000
0.000 0.000 5.708
Cu As Pb Br
1 2 1 1
Direct
0.000 0.000 0.000
0.000 0.500 0.500
0.500 0.000 0.500
0.500 0.500 0.500
0.500 0.500 0.000
```

No. 23
The following is a DFT calculation (PBE-GGA) of crystalline CuAs2PbBr at its relaxed geometry.

The calculation puts the size of the total moment at 0.200 μB/atom. The total energy comes out at -3.4869 eV per atom. The space group is P4/mmm (123).

Cell and atoms, written as POSCAR:
```
CuAs2PbBr
1.0
4.663 0.000 0.000
0.000 4.663 0.000
0.000 0.000 5.798
Cu As Pb Br
1 2 1 1
Direct
0.000 0.000 0.000
0.000 0.500 0.000
0.500 0.000 0.000
0.500 0.500 0.500
0.000 0.000 0.500
```

No. 24
The following is a DFT calculation (PBE-GGA) of crystalline CuAsPdBr2 at its relaxed geometry.

The calculation puts the size of the total moment at 0.099 μB/atom. The total energy comes out at -2.9367 eV per atom. The space group is P4/mmm (123).

Cell and atoms, written as POSCAR:
```
CuAsPdBr2
1.0
5.223 0.000 0.000
0.000 5.223 0.000
0.000 0.000 4.808
Cu As Pd Br
1 1 1 2
Direct
0.000 0.000 0.000
0.500 0.500 0.000
0.500 0.500 0.500
0.000 0.500 0.500
0.500 0.000 0.500
```

No. 25
The following is a DFT calculation (PBE-GGA) of crystalline CuAs2PdBr at its relaxed geometry.

The calculation puts the size of the total moment at 0.000 μB/atom. The total energy comes out at -3.3815 eV per atom. The space group is P4/mmm (123).

Cell and atoms, written as POSCAR:
```
CuAs2PdBr
1.0
4.658 0.000 0.000
0.000 4.658 0.000
0.000 0.000 5.035
Cu As Pd Br
1 2 1 1
Direct
0.000 0.000 0.000
0.000 0.500 0.000
0.500 0.000 0.000
0.500 0.500 0.500
0.000 0.000 0.500
```

No. 26
The following is a DFT calculation (PBE-GGA) of crystalline CuAs2PtBr at its relaxed geometry.

The calculation puts the size of the total moment at 0.187 μB/atom. The total energy comes out at -3.4874 eV per atom. The space group is P4/mmm (123).

Cell and atoms, written as POSCAR:
```
CuAs2PtBr
1.0
4.855 0.000 0.000
0.000 4.855 0.000
0.000 0.000 5.382
Cu As Pt Br
1 2 1 1
Direct
0.000 0.000 0.000
0.000 0.500 0.500
0.500 0.000 0.500
0.500 0.500 0.500
0.500 0.500 0.000
```

No. 27
The following is a DFT calculation (PBE-GGA) of crystalline RbCuAsBr2 at its relaxed geometry.

The calculation puts the size of the total moment at 0.617 μB/atom. The total energy comes out at -1.9134 eV per atom. The space group is P4/mmm (123).

Cell and atoms, written as POSCAR:
```
RbCuAsBr2
1.0
6.408 0.000 0.000
0.000 6.408 0.000
0.000 0.000 6.470
Rb Cu As Br
1 1 1 2
Direct
0.000 0.000 0.000
0.500 0.500 0.500
0.000 0.000 0.500
0.000 0.500 0.000
0.500 0.000 0.000
```

No. 28
The following is a DFT calculation (PBE-GGA) of crystalline Rb3Cu2AsBr9 at its relaxed geometry.

The calculation puts the size of the total moment at 0.000 μB/atom. The total energy comes out at -2.9536 eV per atom. The space group is P-3m1 (164).

Cell and atoms, written as POSCAR:
```
Rb3Cu2AsBr9
1.0
7.501 0.000 0.000
-3.751 6.496 0.000
0.000 0.000 9.222
Rb Cu As Br
3 2 1 9
Direct
0.000 0.000 0.000
0.333 0.667 0.674
0.667 0.333 0.326
0.333 0.667 0.150
0.667 0.333 0.850
0.000 0.000 0.500
0.000 0.500 0.000
0.168 0.337 0.332
0.168 0.832 0.332
0.337 0.168 0.668
0.500 0.000 0.000
0.500 0.500 0.000
0.663 0.832 0.332
0.832 0.168 0.668
0.832 0.663 0.668
```

The records above yield energy relative to the elements, uncorrected values of -10, -35, -22, -114, -59, 11, 59, -8, 38, 96, 64, 59, 144, 105, 75, 55, 89, -64, 77, 72, 69, 102, 26, 50, 65, 71, 67, -87 kJ/mol of atoms, respectively.
The records above yield calculated volume values of 162.1, 140.9, 203.0, 108.9, 123.5, 154.9, 104.1, 131.5, 126.9, 110.6, 124.4, 134.4, 114.9, 88.2, 102.5, 132.8, 108.3, 81.1, 121.3, 117.0, 127.2, 175.2, 126.1, 131.2, 109.2, 126.8, 265.7, 449.4 Å³/f.u., respectively.